Entry 1:
DFT (PBE) results for TcIrW4 after structural relaxation.

Computed properties:
Calculated density, Mg/m³: 17.37
Energy of formation, eV per atom: 0.37
Symmetry: F-43m
Size of the total moment, μB per cell: 0.00

Cell: 5.1755 5.1755 5.1755 Å, 60.00 60.00 60.00°
Fractional positions:
Tc: 0.0000 0.0000 0.0000
Ir: 0.2500 0.2500 0.2500
W: 0.1234 0.6255 0.6255
W: 0.6255 0.1234 0.6255
W: 0.6255 0.6255 0.1234
W: 0.6255 0.6255 0.6255

Entry 2:
DFT (PBE) results for TcIr2W after structural relaxation.

Computed properties:
Calculated density, Mg/m³: 18.05
Energy of formation, eV per atom: 0.40
Symmetry: Fm-3m
Size of the total moment, μB per cell: 0.00

Cell: 6.2587 6.2587 6.2587 Å, 90.00 90.00 90.00°
Fractional positions:
Tc: 0.0000 0.0000 0.0000
Tc: 0.0000 0.5000 0.5000
Tc: 0.5000 0.0000 0.5000
Tc: 0.5000 0.5000 0.0000
Ir: 0.2500 0.2500 0.2500
Ir: 0.2500 0.2500 0.7500
Ir: 0.2500 0.7500 0.2500
Ir: 0.2500 0.7500 0.7500
Ir: 0.7500 0.2500 0.2500
Ir: 0.7500 0.2500 0.7500
Ir: 0.7500 0.7500 0.2500
Ir: 0.7500 0.7500 0.7500
W: 0.0000 0.0000 0.5000
W: 0.0000 0.5000 0.0000
W: 0.5000 0.0000 0.0000
W: 0.5000 0.5000 0.5000

Entry 3:
DFT (PBE) results for TcIr9W2 after structural relaxation.

Computed properties:
Calculated density, Mg/m³: 20.59
Energy of formation, eV per atom: -0.15
Symmetry: P-1
Size of the total moment, μB per cell: 0.00

Cell: 4.7692 6.1495 6.1606 Å, 84.48 82.64 82.58°
Fractional positions:
Tc: 0.0000 0.0000 0.0000
Ir: 0.0012 0.3308 0.6741
Ir: 0.2498 0.2575 0.2417
Ir: 0.2496 0.9187 0.5847
Ir: 0.4984 0.1692 0.8343
Ir: 0.5000 0.5000 0.5000
Ir: 0.5016 0.8308 0.1657
Ir: 0.7504 0.0813 0.4153
Ir: 0.7502 0.7425 0.7583
Ir: 0.9988 0.6692 0.3259
W: 0.2488 0.5913 0.9094
W: 0.7512 0.4087 0.0906

Entry 4:
DFT (PBE) results for TcIr2W after structural relaxation.

Computed properties:
Calculated density, Mg/m³: 18.71
Energy of formation, eV per atom: -0.33
Symmetry: Pmm2
Size of the total moment, μB per cell: 0.00

Cell: 2.7610 4.4244 4.8402 Å, 90.00 90.00 90.00°
Fractional positions:
Tc: 0.0000 0.0000 0.0000
Ir: 0.5000 0.0000 0.4970
Ir: 0.5000 0.5000 0.1558
W: 0.0000 0.5000 0.6667

Entry 5:
DFT (PBE) results for TcIr3W after structural relaxation.

Computed properties:
Calculated density, Mg/m³: 19.29
Energy of formation, eV per atom: -0.23
Symmetry: P-1
Size of the total moment, μB per cell: 0.00

Cell: 4.7618 4.7681 7.3035 Å, 83.76 71.02 70.52°
Fractional positions:
Tc: 0.1469 0.2502 0.2056
Tc: 0.8531 0.7498 0.7944
Ir: 0.0534 0.7490 0.3932
Ir: 0.2492 0.7499 0.0015
Ir: 0.4461 0.7506 0.6076
Ir: 0.5539 0.2494 0.3924
Ir: 0.7508 0.2501 0.9985
Ir: 0.9466 0.2510 0.6068
W: 0.3502 0.2495 0.7994
W: 0.6498 0.7505 0.2006

Entry 6:
DFT (PBE) results for TcIr2W after structural relaxation.

Computed properties:
Calculated density, Mg/m³: 18.65
Energy of formation, eV per atom: -0.23
Symmetry: Pmmm
Size of the total moment, μB per cell: 0.00

Cell: 2.7547 3.9088 5.5094 Å, 90.00 90.00 90.00°
Fractional positions:
Tc: 0.0000 0.0000 0.0000
Ir: 0.5000 0.5000 0.2457
Ir: 0.5000 0.5000 0.7543
W: 0.0000 0.0000 0.5000